Entry from the Alexandria database: a relaxed BeCdAs crystal (PBE).

The space group is P3m1 (No. 156) and the conventional cell measures 3.8023, 3.8023 and 4.5236 Å, with angles of 90.00, 90.00 and 120.00 degrees. Symmetry generates all atoms from Be at (0.0000, 0.0000, 0.0000), Cd at (0.6667, 0.3333, 0.4767) and As at (0.3333, 0.6667, 0.9717).

Its distance to the lowest polymorph of the same formula is 0.36 eV/f.u. For the formation energy, the calculation gives 0.0802 eV per atom. The value obtained for the volume is 57 Å³ per cell. For the calculated density, the calculation gives 5.76 Mg/m³.